! CdTePd2, optimized geometry, DFT PBE; values from VASP
! **Calculated total energy**: -45.3 eV per cell
! **ρ**: 8.970 g cm⁻³
! **Crystal system**: trigonal
! **Energy relative to the elements, uncorrected**: -0.16 eV per atom
&SYSTEM
  ibrav = 0, nat = 12, ntyp = 3
/
ATOMIC_SPECIES
Cd 112.41 Cd.upf
Te 127.60 Te.upf
Pd 106.42 Pd.upf
CELL_PARAMETERS angstrom
3.700 0.000 0.000
-1.850 3.205 0.000
0.000 0.000 21.208
ATOMIC_POSITIONS angstrom
Cd 0.000 0.000 0.000
Cd 0.000 2.136 14.139
Cd 1.850 1.068 7.069
Te 0.000 0.000 3.563
Te 0.000 2.136 17.702
Te 1.850 1.068 10.632
Pd 0.000 0.000 12.362
Pd 0.000 0.000 15.944
Pd 0.000 2.136 5.293
Pd 0.000 2.136 8.875
Pd 1.850 1.068 1.805
Pd 1.850 1.068 19.432

! Pm2GdAg, optimized geometry, DFT PBE; values from VASP
! **Calculated total energy**: -79.4 eV per cell
! **ρ**: 7.591 g cm⁻³
! **ΔE_f**: -0.005 eV per atom
! **Crystal system**: trigonal
&SYSTEM
  ibrav = 0, nat = 12, ntyp = 3
/
ATOMIC_SPECIES
Pm 145.00 Pm.upf
Gd 157.25 Gd.upf
Ag 107.87 Ag.upf
CELL_PARAMETERS angstrom
3.619 0.000 0.000
-1.809 3.134 0.000
0.000 0.000 32.125
ATOMIC_POSITIONS angstrom
Pm 0.000 0.000 7.763
Pm 0.000 0.000 24.363
Pm 0.000 2.089 13.654
Pm 0.000 2.089 29.180
Pm 1.809 1.045 2.946
Pm 1.809 1.045 18.471
Gd 0.000 0.000 0.000
Gd 0.000 2.089 21.417
Gd 1.809 1.045 10.708
Ag 0.000 0.000 16.063
Ag 0.000 2.089 5.354
Ag 1.809 1.045 26.771

! K2BeFe, optimized geometry, DFT PBE; values from VASP
! **Calculated total energy**: -18.4 eV per cell
! **ρ**: 2.134 g cm⁻³
! **ΔE_f**: 1.297 eV per atom
! **Crystal system**: monoclinic
&SYSTEM
  ibrav = 0, nat = 8, ntyp = 3
/
ATOMIC_SPECIES
K 39.10 K.upf
Be 9.01 Be.upf
Fe 55.84 Fe.upf
CELL_PARAMETERS angstrom
5.781 0.000 0.000
0.000 10.143 0.000
-0.094 0.000 3.798
ATOMIC_POSITIONS angstrom
K 1.445 2.536 0.000
K 1.445 7.607 0.000
K 4.336 2.536 0.000
K 4.336 7.607 0.000
Be -0.047 0.000 1.899
Be 2.843 5.071 1.899
Fe -0.047 5.071 1.899
Fe 2.843 0.000 1.899

! KSiO3, optimized geometry, DFT PBE; values from VASP
! **Calculated total energy**: -15.8 eV per cell
! **ρ**: 2.282 g cm⁻³
! **Crystal system**: cubic
! **Energy relative to the elements, uncorrected**: 1.11 eV per atom
&SYSTEM
  ibrav = 0, nat = 5, ntyp = 3
/
ATOMIC_SPECIES
K 39.10 K.upf
Si 28.09 Si.upf
O 16.00 O.upf
CELL_PARAMETERS angstrom
4.376 0.000 0.000
0.000 4.376 0.000
0.000 0.000 4.376
ATOMIC_POSITIONS angstrom
K 0.000 0.000 0.000
Si 2.188 2.188 2.188
O 0.000 0.000 2.188
O 0.000 2.188 0.000
O 2.188 0.000 0.000

! Tm2ThScSe4, optimized geometry, DFT PBE; values from VASP
! **Calculated total energy**: -49.3 eV per cell
! **ρ**: 8.265 g cm⁻³
! **Crystal system**: monoclinic
! **Energy relative to the elements, uncorrected**: -1.58 eV per atom
&SYSTEM
  ibrav = 0, nat = 8, ntyp = 4
/
ATOMIC_SPECIES
Tm 168.93 Tm.upf
Th 232.04 Th.upf
Sc 44.96 Sc.upf
Se 78.96 Se.upf
CELL_PARAMETERS angstrom
6.991 0.000 0.000
0.000 3.988 0.000
-2.285 0.000 6.706
ATOMIC_POSITIONS angstrom
Tm 0.000 0.000 0.000
Tm -1.143 1.994 3.353
Th 2.353 0.000 3.353
Sc 3.496 1.994 0.000
Se 1.143 1.994 1.563
Se 0.004 0.000 5.114
Se 4.701 0.000 1.592
Se 3.563 1.994 5.143

! CeGa2PRu2, optimized geometry, DFT PBE; values from VASP
! **Calculated total energy**: -38.8 eV per cell
! **ρ**: 7.712 g cm⁻³
! **ΔE_f**: -0.480 eV per atom
! **Crystal system**: tetragonal
&SYSTEM
  ibrav = 0, nat = 6, ntyp = 4
/
ATOMIC_SPECIES
Ce 140.12 Ce.upf
Ga 69.72 Ga.upf
P 30.97 P.upf
Ru 101.07 Ru.upf
CELL_PARAMETERS angstrom
4.430 0.000 0.000
0.000 4.430 0.000
0.000 0.000 5.625
ATOMIC_POSITIONS angstrom
Ce 0.000 0.000 0.000
Ga 2.215 2.215 1.270
Ga 2.215 2.215 4.355
P 0.000 0.000 2.813
Ru 0.000 2.215 2.813
Ru 2.215 0.000 2.813